# PmZrP (GGA-PBE, optimized geometry)
data_PmZrP
_chemical_formula_sum 'Pm4 Zr4 P4'
_symmetry_space_group_name_H-M 'P 1'
_symmetry_Int_Tables_number 1
_symmetry_space_group_name_Hall 'P 1'
_cell_length_a 5.1641
_cell_length_b 7.7757
_cell_length_c 7.5375
_cell_angle_alpha 90.00
_cell_angle_beta 90.00
_cell_angle_gamma 90.00
loop_
_atom_site_label
_atom_site_fract_x
_atom_site_fract_y
_atom_site_fract_z
P1 0.7500 0.8750 0.1265
P2 0.2500 0.6250 0.8735
P3 0.2500 0.1250 0.8735
Zr1 0.7500 0.1250 0.8989
Pm1 0.7500 0.6250 0.3913
Pm2 0.2500 0.3750 0.6087
Zr2 0.2500 0.8750 0.1011
Pm3 0.7500 0.1250 0.3913
Zr3 0.7500 0.6250 0.8989
Pm4 0.2500 0.8750 0.6087
P4 0.7500 0.3750 0.1265
Zr4 0.2500 0.3750 0.1011
# Crystal system   orthorhombic
# Magnetic moment   0.00 μB/f.u.
# Uncorrected energy   -7.147 eV per atom
# Relative energy among the computed polymorphs   0 meV per atom
# ΔE_f   -2.732 eV/f.u.

# SnB3Au (GGA-PBE, optimized geometry)
data_SnB3Au
_chemical_formula_sum 'Sn1 B3 Au1'
_symmetry_space_group_name_H-M 'P 1'
_symmetry_Int_Tables_number 1
_symmetry_space_group_name_Hall 'P 1'
_cell_length_a 4.5022
_cell_length_b 4.5022
_cell_length_c 4.5022
_cell_angle_alpha 90.00
_cell_angle_beta 90.00
_cell_angle_gamma 90.00
loop_
_atom_site_label
_atom_site_fract_x
_atom_site_fract_y
_atom_site_fract_z
Sn1 0.0000 0.0000 0.0000
B1 0.0000 0.5000 0.0000
B2 0.5000 0.0000 0.0000
Au1 0.5000 0.5000 0.5000
B3 0.0000 0.0000 0.5000
# Crystal system   cubic
# Magnetic moment   0.00 μB/f.u.
# Uncorrected energy   -3.256 eV per atom
# Relative energy among the computed polymorphs   540 meV per atom
# ΔE_f   11.033 eV/f.u.

# Cr2CoSi (GGA-PBE, optimized geometry)
data_Cr2CoSi
_chemical_formula_sum 'Cr2 Co1 Si1'
_symmetry_space_group_name_H-M 'P 1'
_symmetry_Int_Tables_number 1
_symmetry_space_group_name_Hall 'P 1'
_cell_length_a 8.2152
_cell_length_b 8.2152
_cell_length_c 8.2152
_cell_angle_alpha 17.94
_cell_angle_beta 17.94
_cell_angle_gamma 17.94
loop_
_atom_site_label
_atom_site_fract_x
_atom_site_fract_y
_atom_site_fract_z
Co1 0.7500 0.7500 0.7500
Cr1 0.4989 0.4989 0.4989
Si1 0.2500 0.2500 0.2500
Cr2 0.0011 0.0011 0.0011
# Raw formation energy   70 meV/atom
# Crystal system   trigonal
# Magnetic moment   0.00 μB/f.u.
# Uncorrected energy   -7.874 eV per atom

# LiDyMgBr6 (GGA-PBE, optimized geometry)
data_LiDyMgBr6
_chemical_formula_sum 'Li2 Dy2 Mg2 Br12'
_symmetry_space_group_name_H-M 'P 1'
_symmetry_Int_Tables_number 1
_symmetry_space_group_name_Hall 'P 1'
_cell_length_a 6.9352
_cell_length_b 6.9352
_cell_length_c 12.7375
_cell_angle_alpha 90.00
_cell_angle_beta 90.00
_cell_angle_gamma 120.00
loop_
_atom_site_label
_atom_site_fract_x
_atom_site_fract_y
_atom_site_fract_z
Li1 0.0000 0.0000 0.5000
Mg1 0.6667 0.3333 0.7500
Br1 0.3383 0.3499 0.3724
Br2 0.9884 0.3383 0.6276
Br3 0.6617 0.6501 0.6276
Br4 0.0116 0.3499 0.1276
Br5 0.0116 0.6617 0.3724
Br6 0.6501 0.6617 0.1276
Br7 0.9884 0.6501 0.8724
Br8 0.6501 0.9884 0.3724
Dy1 0.3333 0.6667 0.7500
Br9 0.3499 0.3383 0.8724
Br10 0.6617 0.0116 0.8724
Br11 0.3499 0.0116 0.6276
Dy2 0.6667 0.3333 0.2500
Br12 0.3383 0.9884 0.1276
Li2 0.0000 0.0000 0.0000
Mg2 0.3333 0.6667 0.2500
# Raw formation energy   -1631 meV/atom
# Crystal system   trigonal
# Magnetic moment   0.00 μB/f.u.
# Uncorrected energy   -3.647 eV per atom